DFT (PBE-GGA) results for a geometry-optimized CaCo structure.

Lattice parameters (Å, degrees): 10.6875 10.6875 3.9300 90.00 90.00 90.00
With the nearest neighbours (Å) after each atom.
Space group P4/mmm (No. 123)
Symmetry-distinct sites (fractional):
1 Ca 0.0000 0.3165 0.0000  6 Co 2.91-3.00
2 Ca 0.3240 0.3240 0.5000  6 Co 3.00-3.02
3 Co 0.1056 0.5000 0.5000  3 Co 2.22-2.26
4 Co 0.2013 0.5000 0.0000  2 Co 2.22

Computed properties:
- spin magnetization (μB per formula unit) = 1.087
- energy (eV/atom) = -4.373
- volume (A^3/atom) = 28.1
- ΔH_f (0 K) (eV per atom) = 0.18
- ρ (g/cm3) = 2.930

DFT (PBE-GGA) results for a geometry-optimized ZrTcIr2 structure.

Lattice parameters (Å, degrees): 9.3295 2.8685 4.9289 90.00 100.40 90.00
With the nearest neighbours (Å) after each atom.
Space group Cm (No. 8)
Symmetry-distinct sites (fractional):
1 Zr 0.0000 0.0000 0.0000  7 Ir 2.75-2.90, 2 Zr 2.87, 3 Tc 2.92-3.01
2 Tc 0.2626 0.5000 0.3123  5 Ir 2.66-2.73, 2 Tc 2.87, 1 Zr 2.92
3 Ir 0.0017 0.5000 0.4892  3 Tc 2.66-2.73, 4 Zr 2.80-2.90, 5 Ir 2.82-2.95
4 Ir 0.2460 0.0000 0.7636  2 Tc 2.67, 3 Zr 2.75-2.83, 5 Ir 2.82-2.95

Computed properties:
- spin magnetization (μB per formula unit) = 0.000
- energy (eV/atom) = -9.497
- volume (A^3/atom) = 16.2
- ΔH_f (0 K) (eV per atom) = -0.34
- ρ (g/cm3) = 14.684

DFT (PBE-GGA) results for a geometry-optimized YMg2Cu2 structure.

Lattice parameters (Å, degrees): 4.2237 17.6771 5.3372 90.00 90.00 90.00
With the nearest neighbours (Å) after each atom.
Space group Cmc2_1 (No. 36)
Symmetry-distinct sites (fractional):
1 Y 0.0000 0.0869 0.0000  4 Cu 2.89-3.00
2 Mg 0.0000 0.2808 0.7705  7 Cu 2.65-2.74
3 Mg 0.0000 0.4428 0.0005  3 Cu 2.70-2.72
4 Cu 0.0000 0.1541 0.5061  2 Cu 2.61, 5 Mg 2.65-2.72, 1 Y 2.89
5 Cu 0.0000 0.3141 0.2724  2 Cu 2.61, 5 Mg 2.70-2.74

Computed properties:
- spin magnetization (μB per formula unit) = 0.000
- energy (eV/atom) = -3.718
- volume (A^3/atom) = 19.9
- ΔH_f (0 K) (eV per atom) = -0.15
- ρ (g/cm3) = 4.411